Ce2Ho5Tm6: optimized geometry, GGA-PBE.

Output
raw total energy = -4.61 eV/atom
ΔE_f = 12.5 kJ per mole of atoms
magnetization = 1.199 μB per formula unit

Cell: 11.2882 20.4407 3.4973 Å, 90.00 90.00 90.00°
Closest atoms and distances in Å follow each position.
Sites, in units of the cell vectors:
1 Ce 0.1892 0.2355 0.0000  3 Tm 3.30-3.37, 6 Ho 3.42-3.65, 2 Ce 3.50
2 Ce 0.3108 0.7355 0.0000  3 Tm 3.30-3.37, 6 Ho 3.42-3.65, 2 Ce 3.50
3 Ce 0.6892 0.2645 0.0000  3 Tm 3.30-3.37, 6 Ho 3.42-3.65, 2 Ce 3.50
4 Ce 0.8108 0.7645 0.0000  3 Tm 3.30-3.37, 6 Ho 3.42-3.65, 2 Ce 3.50
5 Ho 0.0000 0.5000 0.5000  6 Tm 3.27-3.55, 2 Ho 3.50
6 Ho 0.0653 0.7938 0.5000  5 Tm 3.29-3.48, 4 Ce 3.42-3.49, 2 Ho 3.50
7 Ho 0.1870 0.0786 0.5000  4 Ho 3.50-3.88, 6 Tm 3.53-3.57, 2 Ce 3.65
8 Ho 0.3130 0.5786 0.5000  4 Ho 3.50-3.88, 6 Tm 3.53-3.57, 2 Ce 3.65
9 Ho 0.4347 0.2938 0.5000  5 Tm 3.29-3.48, 4 Ce 3.42-3.49, 2 Ho 3.50
10 Ho 0.5000 0.0000 0.5000  6 Tm 3.27-3.55, 2 Ho 3.50
11 Ho 0.5653 0.7062 0.5000  5 Tm 3.29-3.48, 4 Ce 3.42-3.49, 2 Ho 3.50
12 Ho 0.6870 0.4214 0.5000  4 Ho 3.50-3.88, 6 Tm 3.53-3.57, 2 Ce 3.65
13 Ho 0.8130 0.9214 0.5000  4 Ho 3.50-3.88, 6 Tm 3.53-3.57, 2 Ce 3.65
14 Ho 0.9347 0.2062 0.5000  5 Tm 3.29-3.48, 4 Ce 3.42-3.49, 2 Ho 3.50
15 Tm 0.0660 0.6468 0.0000  1 Ce 3.30, 4 Tm 3.36-3.50, 6 Ho 3.48-3.57
16 Tm 0.0833 0.9381 0.0000  5 Tm 3.15-3.50, 2 Ho 3.43
17 Tm 0.1846 0.3764 0.5000  2 Ho 3.27-3.29, 6 Tm 3.36-3.50, 2 Ce 3.37
18 Tm 0.3154 0.8764 0.5000  2 Ho 3.27-3.29, 6 Tm 3.36-3.50, 2 Ce 3.37
19 Tm 0.4167 0.4381 0.0000  5 Tm 3.15-3.50, 2 Ho 3.43
20 Tm 0.4340 0.1468 0.0000  1 Ce 3.30, 4 Tm 3.36-3.50, 6 Ho 3.48-3.57
21 Tm 0.5660 0.8532 0.0000  1 Ce 3.30, 4 Tm 3.36-3.50, 6 Ho 3.48-3.57
22 Tm 0.5833 0.5619 0.0000  5 Tm 3.15-3.50, 2 Ho 3.43
23 Tm 0.6846 0.1236 0.5000  2 Ho 3.27-3.29, 6 Tm 3.36-3.50, 2 Ce 3.37
24 Tm 0.8154 0.6236 0.5000  2 Ho 3.27-3.29, 6 Tm 3.36-3.50, 2 Ce 3.37
25 Tm 0.9167 0.0619 0.0000  5 Tm 3.15-3.50, 2 Ho 3.43
26 Tm 0.9340 0.3532 0.0000  1 Ce 3.30, 4 Tm 3.36-3.50, 6 Ho 3.48-3.57